Density functional theory data (PBE-GGA) for a relaxed Y2FeCuC crystal.

space group = P4/mmm
energy relative to the elements = -0.27 eV per atom
electronic total energy = -7.2129 eV per atom

a = 4.9429 Å, b = 4.9429 Å, c = 3.6331 Å
α = 90.00°, β = 90.00°, γ = 90.00°
Last column: nearest neighbours and their distance in Å.
Fractional positions:
C 0.0000 0.0000 0.0000  2 Fe 1.82
Fe 0.0000 0.0000 0.5000  2 C 1.82
Cu 0.5000 0.5000 0.5000  8 Y 3.07
Y 0.5000 0.0000 0.0000  2 C 2.47
Y 0.0000 0.5000 0.0000  2 C 2.47



Density functional theory data (PBE-GGA) for a relaxed ZnFe2CuC crystal.

space group = P4/mmm
energy relative to the elements = 0.14 eV per atom
electronic total energy = -6.1640 eV per atom

a = 3.7483 Å, b = 3.7483 Å, c = 3.9466 Å
α = 90.00°, β = 90.00°, γ = 90.00°
Last column: nearest neighbours and their distance in Å.
Fractional positions:
C 0.0000 0.0000 0.0000  4 Fe 1.87, 2 Cu 1.97
Cu 0.0000 0.0000 0.5000  2 C 1.97
Fe 0.5000 0.0000 0.0000  2 C 1.87
Fe 0.0000 0.5000 0.0000  2 C 1.87
Zn 0.5000 0.5000 0.5000  4 Cu 2.65, 8 Fe 2.72



Density functional theory data (PBE-GGA) for a relaxed ZrFe2CuC crystal.

space group = P4/mmm
energy relative to the elements = 1.03 eV per atom
electronic total energy = -6.7284 eV per atom

a = 4.4941 Å, b = 3.5550 Å, c = 4.4941 Å
α = 90.00°, β = 90.00°, γ = 90.00°
Last column: nearest neighbours and their distance in Å.
Fractional positions:
Cu 0.0000 0.0000 0.0000  2 C 1.78
Fe 0.5000 0.0000 0.0000  2 Cu 2.25
Fe 0.0000 0.0000 0.5000  2 Cu 2.25
Zr 0.5000 0.5000 0.5000  8 Fe 2.87, 4 C 3.18
C 0.0000 0.5000 0.0000  2 Cu 1.78



Density functional theory data (PBE-GGA) for a relaxed Zr2FeCuC crystal.

space group = P4/mmm
energy relative to the elements = -0.29 eV per atom
electronic total energy = -8.0609 eV per atom

a = 4.5905 Å, b = 4.5905 Å, c = 3.6204 Å
α = 90.00°, β = 90.00°, γ = 90.00°
Last column: nearest neighbours and their distance in Å.
Fractional positions:
Fe 0.0000 0.0000 0.5000  2 C 1.81
C 0.0000 0.0000 0.0000  2 Fe 1.81
Zr 0.5000 0.0000 0.0000  2 C 2.30
Zr 0.0000 0.5000 0.0000  2 C 2.30
Cu 0.5000 0.5000 0.5000  8 Zr 2.92, 4 Fe 3.25